Material: Tb2HoErTe6
Method: DFT, PBE
State: optimized geometry

The structure in POSCAR format:
```
Tb2HoErTe6
1.0
3.841 2.218 7.016
-3.841 2.218 7.016
0.000 -4.436 7.016
Tb Ho Er Te
2 1 1 6
Cartesian
0.000 0.000 0.000
0.000 0.000 10.520
0.000 0.000 6.611
0.000 0.000 17.141
-1.241 -2.072 8.546
-2.664 -0.117 12.051
-1.174 2.111 8.546
1.434 -2.249 12.051
2.415 -0.039 8.546
1.231 2.366 12.051
```

Values from the calculation:
Its space group is R3 (146).

Material: Sr5MgSb4
Method: DFT, PBE
State: optimized geometry

The structure in POSCAR format:
```
Sr5MgSb4
1.0
9.659 -2.454 0.000
9.659 2.454 0.000
-1.510 0.000 8.225
Sr Mg Sb
5 1 4
Cartesian
0.000 0.000 0.000
6.319 0.000 0.182
5.936 0.000 4.397
11.872 0.000 3.828
11.489 0.000 8.043
-0.755 0.000 4.113
3.431 0.000 1.959
8.777 0.000 2.234
9.032 0.000 5.991
14.378 0.000 6.266
```

Values from the calculation:
Its space group is C2/m (12).

Material: HgSbN3
Method: DFT, PBE
State: optimized geometry

The structure in POSCAR format:
```
HgSbN3
1.0
4.106 0.000 0.000
0.000 4.106 0.000
0.000 0.000 4.106
Hg Sb N
1 1 3
Cartesian
0.000 0.000 0.000
2.053 2.053 2.053
0.000 2.053 2.053
2.053 0.000 2.053
2.053 2.053 0.000
```

Values from the calculation:
Its space group is Pm-3m (221).

Calculated values (kJ per mole of atoms) of formation energy without anion corrections for the records, taken in order: -131.09, -80.47, 161.57.